Record 1
# AcTbCuOs

Crystalline AcTbCuOs at its relaxed geometry (PBE-GGA, the Alexandria database).

Values from the calculation:
As for the space-group type: F-43m, No. 216. The calculation puts the total energy at -6.04 eV per atom. The formation energy is -0.0280 eV per atom.

a = 5.073 Å, b = 5.073 Å, c = 5.073 Å
α = 60.00°, β = 60.00°, γ = 60.00°
Atoms (fractional coordinates):
Tb1 0.750 0.750 0.750
Ac1 0.250 0.250 0.250
Os1 0.500 0.500 0.500
Cu1 0.000 0.000 0.000

Record 2
# Ac2GePt

Crystalline Ac2GePt at its relaxed geometry (PBE-GGA, the Alexandria database).

Values from the calculation:
As for the space-group type: P4/mmm, No. 123. The calculation puts the total energy at -5.52 eV per atom. The formation energy is -0.7986 eV per atom.

a = 3.811 Å, b = 3.811 Å, c = 7.797 Å
α = 90.00°, β = 90.00°, γ = 90.00°
Atoms (fractional coordinates):
Ac1 0.000 0.000 0.758
Ac2 0.000 0.000 0.242
Ge1 0.500 0.500 0.500
Pt1 0.500 0.500 0.000

Record 3
# CaNbZnN3

Crystalline CaNbZnN3 at its relaxed geometry (PBE-GGA, the Alexandria database).

Values from the calculation:
As for the space-group type: P2_1/m, No. 11. The calculation puts the total energy at -6.99 eV per atom. The value obtained for the uncorrected formation energy is -0.600 eV per atom.

a = 3.255 Å, b = 6.007 Å, c = 8.459 Å
α = 105.76°, β = 90.00°, γ = 90.00°
Atoms (fractional coordinates):
Ca1 0.250 0.318 0.320
Ca2 0.750 0.682 0.680
Nb1 0.250 0.712 0.107
Nb2 0.750 0.288 0.893
Zn1 0.250 0.129 0.602
Zn2 0.750 0.871 0.398
N1 0.750 0.919 0.163
N2 0.250 0.081 0.837
N3 0.250 0.734 0.466
N4 0.750 0.266 0.534
N5 0.750 0.441 0.125
N6 0.250 0.559 0.875

Record 4
# Ce2NpTc

Crystalline Ce2NpTc at its relaxed geometry (PBE-GGA, the Alexandria database).

Values from the calculation:
As for the space-group type: P4/mmm, No. 123. The calculation puts the total energy at -8.62 eV per atom. The formation energy is 0.1771 eV per atom.

a = 3.402 Å, b = 3.402 Å, c = 7.534 Å
α = 90.00°, β = 90.00°, γ = 90.00°
Atoms (fractional coordinates):
Np1 0.500 0.500 0.500
Tc1 0.500 0.500 0.000
Ce1 0.000 0.000 0.770
Ce2 0.000 0.000 0.230

Record 5
# PmDy8Sb6

Crystalline PmDy8Sb6 at its relaxed geometry (PBE-GGA, the Alexandria database).

Values from the calculation:
As for the space-group type: R-3, No. 148. The calculation puts the total energy at -5.19 eV per atom. The value obtained for the uncorrected formation energy is -0.765 eV per atom.

a = 8.048 Å, b = 8.048 Å, c = 9.480 Å
α = 64.88°, β = 64.88°, γ = 60.00°
Atoms (fractional coordinates):
Pm1 0.000 0.000 0.000
Dy1 0.551 0.207 0.366
Dy2 0.793 0.124 0.634
Dy3 0.124 0.449 0.634
Dy4 0.666 0.666 0.001
Dy5 0.334 0.334 0.999
Dy6 0.876 0.551 0.366
Dy7 0.207 0.876 0.366
Dy8 0.449 0.793 0.634
Sb1 0.408 0.067 0.795
Sb2 0.933 0.270 0.205
Sb3 0.270 0.592 0.205
Sb4 0.730 0.408 0.795
Sb5 0.067 0.730 0.795
Sb6 0.592 0.933 0.205

Record 6
# Ag7Pd4Pb

Crystalline Ag7Pd4Pb at its relaxed geometry (PBE-GGA, the Alexandria database).

Values from the calculation:
As for the space-group type: C2/m, No. 12. The calculation puts the total energy at -3.50 eV per atom. The formation energy is 0.1983 eV per atom.

a = 5.129 Å, b = 8.984 Å, c = 5.862 Å
α = 83.57°, β = 64.06°, γ = 73.41°
Atoms (fractional coordinates):
Ag1 0.792 0.912 0.505
Ag2 0.208 0.088 0.495
Ag3 0.039 0.618 0.305
Ag4 0.961 0.382 0.695
Ag5 0.340 0.552 0.768
Ag6 0.500 0.000 0.000
Ag7 0.660 0.448 0.232
Pd1 0.579 0.230 0.613
Pd2 0.421 0.770 0.387
Pd3 0.721 0.686 0.873
Pd4 0.279 0.314 0.127
Pb1 0.000 0.000 0.000

- What is the formula in the sixth record?
  Ag7Pd4Pb

- Which formula does entry 4 have?
  Ce2NpTc